EuEr2Te | PBE-GGA | optimized geometry Values from VASP.

Properties
- uncorrected formation energy (eV/atom) = -0.28

The structure in Quantum ESPRESSO input format:
```
&SYSTEM
  ibrav = 0, nat = 4, ntyp = 3
/
ATOMIC_SPECIES
Er 167.26 Er.upf
Te 127.60 Te.upf
Eu 151.96 Eu.upf
ATOMIC_POSITIONS angstrom
Er 1.928 1.113 7.527
Er 5.784 3.339 3.481
Te 3.856 2.226 5.504
Eu 0.000 0.000 0.000
CELL_PARAMETERS angstrom
3.856 0.000 0.000
1.928 3.339 0.000
1.928 1.113 11.008
```

EuErTe | PBE-GGA | optimized geometry Values from VASP.

Properties
- uncorrected formation energy (eV/atom) = -0.58

The structure in Quantum ESPRESSO input format:
```
&SYSTEM
  ibrav = 0, nat = 3, ntyp = 3
/
ATOMIC_SPECIES
Te 127.60 Te.upf
Eu 151.96 Eu.upf
Er 167.26 Er.upf
ATOMIC_POSITIONS angstrom
Te 0.708 0.000 3.013
Eu 2.806 2.609 1.507
Er 0.699 0.000 0.000
CELL_PARAMETERS angstrom
4.212 0.000 0.000
0.000 5.219 0.000
0.000 -2.609 4.520
```

EuEr2Th | PBE-GGA | optimized geometry Values from VASP.

Properties
- formation energy from the elements (eV/f.u.) = 0.8
- energy relative to the lowest polymorph listed for this composition (meV/atom) = 143

The structure in Quantum ESPRESSO input format:
```
&SYSTEM
  ibrav = 0, nat = 4, ntyp = 3
/
ATOMIC_SPECIES
Er 167.26 Er.upf
Th 232.04 Th.upf
Eu 151.96 Eu.upf
ATOMIC_POSITIONS angstrom
Er 2.859 1.651 1.167
Er 8.577 4.952 3.502
Th 5.718 3.301 2.334
Eu 0.000 0.000 0.000
CELL_PARAMETERS angstrom
5.718 0.000 0.000
2.859 4.952 0.000
2.859 1.651 4.669
```